Record 1
AlRu2Rh: single point on PBEsol structure, SCAN.

a b c (Å): 3.7311 3.7311 4.6757
angles (deg): 113.52 113.52 90.00
Element x y z (fractional)
Ru 0.7500 0.2500 0.5000
Ru 0.2500 0.7500 0.5000
Rh 0.0000 0.0000 0.0000
Al 0.5000 0.5000 0.0000

## Properties
* calculated volume: 13.435 A^3/atom
* ΔH_f (0 K): -308 meV per atom
* space group: I4/mmm, No. 139

=====

Record 2
CrSbBr2: single point on PBEsol structure, SCAN.

a b c (Å): 4.0905 4.0905 6.5807
angles (deg): 108.11 108.11 90.00
Site moments in Bohr magnetons follow the coordinates.
Element x y z (fractional)
Br 0.0000 0.0000 0.0000  -0.10
Br 0.2500 0.7500 0.5000  0.00
Cr 0.5000 0.5000 0.0000  4.19
Sb 0.7500 0.2500 0.5000  -0.28

## Properties
* ΔE_f (raw): 0.14 eV/atom
* calculated volume: 24.726 A^3/atom
* E above lowest polymorph: 451 meV/atom
* space group: I-4m2, No. 119

=====

Record 3
LiCa2Cd: single point on PBEsol structure, SCAN.

a b c (Å): 5.3973 5.3973 5.3973
angles (deg): 60.00 60.00 60.00
Element x y z (fractional)
Ca 0.2500 0.2500 0.2500
Ca 0.7500 0.7500 0.7500
Cd 0.0000 0.0000 0.0000
Li 0.5000 0.5000 0.5000

## Properties
* calculated volume: 27.794 A^3/atom
* E above lowest polymorph: 0 meV/atom
* ΔH_f (0 K): -241 meV per atom
* space group: Fm-3m, No. 225

=====

Record 4
MgAs2Pb: single point on PBEsol structure, SCAN.

a b c (Å): 3.9694 4.2040 6.6209
angles (deg): 106.38 90.00 118.17
Element x y z (fractional)
As 0.7449 0.4899 0.7115
As 0.2551 0.5101 0.2885
Mg 0.0000 0.0000 0.5000
Pb 0.5000 0.0000 0.0000

## Properties
* calculated volume: 23.070 A^3/atom
* ΔH_f (0 K): -104 meV per atom
* space group: C2/m, No. 12

=====

Record 5
CaTlRh: single point on PBEsol structure, SCAN.

a b c (Å): 4.6685 4.6685 4.6685
angles (deg): 60.00 60.00 60.00
Element x y z (fractional)
Tl 0.2500 0.2500 0.2500
Rh 0.5000 0.5000 0.5000
Ca 0.0000 0.0000 0.0000

## Properties
* calculated volume: 23.982 A^3/atom
* ΔH_f (0 K): -13 meV per atom
* space group: F-43m, No. 216

=====

Record 6
La2MnAl: single point on PBEsol structure, SCAN.

a b c (Å): 3.7191 3.7172 7.2987
angles (deg): 90.03 90.00 90.00
Site moments in Bohr magnetons follow the coordinates.
Element x y z (fractional)
Mn 0.5000 0.5000 0.5000  4.06
Al 0.5000 0.5000 0.0000  0.02
La 0.0000 0.9997 0.7411  -0.14
La 0.0000 0.0003 0.2589  -0.14

## Properties
* calculated volume: 25.226 A^3/atom
* ΔH_f (0 K): -166 meV per atom
* space group: P4/mmm, No. 123